Record 1
Here is a relaxed YThMg2 crystal from the Alexandria database. Energies are from GGA-PBE.

For the calculated total energy, the calculation gives -4.19 eV per atom. The value obtained for the calculated formation energy is 0.0735 eV/atom.

The structure belongs to space group R-3m (No. 166, hexagonal axes); the cell edges are 3.4162, 3.4162 and 34.0519 Å and the angles 90.00°, 90.00° and 120.00°. Symmetry generates all atoms from Y at (0.0000, 0.0000, 0.0000), Th at (0.0000, 0.0000, 0.5000) and Mg at (0.0000, 0.0000, 0.2519).

Record 2
Here is a relaxed TbPm3O6 crystal from the Alexandria database. Energies are from GGA-PBE.

For the calculated total energy, the calculation gives -8.31 eV per atom. The value obtained for the uncorrected formation energy is -3447 meV/atom.

The structure belongs to space group R-3 (No. 148, hexagonal axes); the cell edges are 9.9445, 9.9445 and 11.6400 Å and the angles 90.00°, 90.00° and 120.00°. Symmetry generates all atoms from Tb at (0.0000, 0.0000, 0.0000), Tb at (0.0000, 0.0000, 0.5000), Pm at (0.0386, 0.2658, 0.2097), O at (0.0278, 0.1861, 0.8729) and O at (0.0279, 0.2163, 0.4045).

Record 3
Here is a relaxed IrC3 crystal from the Alexandria database. Energies are from GGA-PBE.

For the calculated total energy, the calculation gives -7.67 eV per atom. The value obtained for the calculated formation energy is 1.4672 eV/atom.

The structure belongs to space group P2/m (No. 10); the cell edges are 3.874, 2.871 and 4.431 Å and the angles 90.00°, 90.58° and 90.00°. Symmetry generates all atoms from Ir at (0.000, 0.000, 0.000), C at (0.000, 0.500, 0.356) and C at (0.500, 0.000, 0.000).